La2Pm2Pr2In | PBE-GGA | relaxed

## Properties
Energy of formation from the pure elements (meV per atom): -58.1
SG: C2/m, No. 12
Magnetization (μB per atom): 0.000
Electronic total energy (eV per atom): -4.580
Calculated density (g/cm3): 6.7

```
La2Pm2Pr2In
1.0
-1.2685 -3.0058 -1.5281
3.3362 -1.7498 4.9191
-7.2336 -1.6449 9.2403
Pr La In Pm
2 2 1 2
Direct
0.3348 0.6697 0.0761
0.6652 0.3303 0.9239
0.7600 0.5199 0.3667
0.2400 0.4801 0.6333
0.0000 0.0000 0.5000
0.4538 0.9076 0.7538
0.5462 0.0924 0.2462
```



La6Pm2PrIn | PBE-GGA | relaxed

## Properties
Energy of formation from the pure elements (meV per atom): -24.4
SG: C2/c, No. 15
Magnetization (μB per atom): 0.000
Electronic total energy (eV per atom): -4.683
Calculated density (g/cm3): 6.5

```
La6Pm2PrIn
1.0
9.1697 -2.0689 -2.1471
0.7400 8.6310 -0.7571
0.7400 -1.0764 8.5970
Pm In La Pr
4 2 12 2
Direct
0.6037 0.2034 0.2590
0.1037 0.2590 0.2034
0.3963 0.7966 0.7410
0.8963 0.7410 0.7966
0.7500 0.5988 0.4012
0.2500 0.4012 0.5988
0.1661 0.5427 0.9598
0.3339 0.0402 0.4573
0.8339 0.4573 0.0402
0.6661 0.9598 0.5427
0.5875 0.7322 0.0824
0.5956 0.4326 0.6680
0.0956 0.6680 0.4326
0.4125 0.2678 0.9176
0.4044 0.5674 0.3320
0.0875 0.0824 0.7322
0.9125 0.9176 0.2678
0.9044 0.3320 0.5674
0.2500 0.9250 0.0750
0.7500 0.0750 0.9250
```



Which of these has the highest electronic total energy? La2Pm2Pr2In



Please write out number 2 again, unchanged.
La6Pm2PrIn | PBE-GGA | relaxed

## Properties
Energy of formation from the pure elements (meV per atom): -24.4
SG: C2/c, No. 15
Magnetization (μB per atom): 0.000
Electronic total energy (eV per atom): -4.683
Calculated density (g/cm3): 6.5

```
La6Pm2PrIn
1.0
9.1697 -2.0689 -2.1471
0.7400 8.6310 -0.7571
0.7400 -1.0764 8.5970
Pm In La Pr
4 2 12 2
Direct
0.6037 0.2034 0.2590
0.1037 0.2590 0.2034
0.3963 0.7966 0.7410
0.8963 0.7410 0.7966
0.7500 0.5988 0.4012
0.2500 0.4012 0.5988
0.1661 0.5427 0.9598
0.3339 0.0402 0.4573
0.8339 0.4573 0.0402
0.6661 0.9598 0.5427
0.5875 0.7322 0.0824
0.5956 0.4326 0.6680
0.0956 0.6680 0.4326
0.4125 0.2678 0.9176
0.4044 0.5674 0.3320
0.0875 0.0824 0.7322
0.9125 0.9176 0.2678
0.9044 0.3320 0.5674
0.2500 0.9250 0.0750
0.7500 0.0750 0.9250
```



energy of formation from the pure elements of number 2 (La6Pm2PrIn)? -24.4 meV per atom